Record 1
A geometry-optimized BSbTe2Rh structure, computed with GGA-PBEsol.

Cell lengths 4.8796, 5.2535, 5.2535 Å; angles 90.00, 90.00, 90.00 degrees
Positions (direct):
1 Sb 0.5000 0.0000 0.0000
2 Te 0.0000 0.0000 0.5000
3 Te 0.0000 0.5000 0.0000
4 B 0.5000 0.5000 0.5000
5 Rh 0.0000 0.0000 0.0000

Properties
Energy relative to the elements, uncorrected: 1.219 eV/atom
Total DFT energy (no corrections): -4.1337 eV per atom



Record 2
A geometry-optimized In5AgSe8 structure, computed with GGA-PBEsol.

Cell lengths 5.7638, 5.7638, 11.6408 Å; angles 90.00, 90.00, 90.00 degrees
Positions (direct):
1 Se 0.2778 0.7222 0.3880
2 Se 0.2207 0.7793 0.8895
3 Se 0.7222 0.2778 0.3880
4 Se 0.2207 0.2207 0.1105
5 Se 0.7793 0.7793 0.1105
6 Se 0.7793 0.2207 0.8895
7 Se 0.7222 0.7222 0.6120
8 Se 0.2778 0.2778 0.6120
9 In 0.5000 0.5000 0.0000
10 In 0.5000 0.0000 0.2559
11 In 0.0000 0.5000 0.2559
12 In 0.5000 0.0000 0.7441
13 In 0.0000 0.5000 0.7441
14 Ag 0.0000 0.0000 0.5000

Properties
Energy relative to the elements, uncorrected: -0.459 eV/atom
Total DFT energy (no corrections): -3.9611 eV per atom



Record 3
A geometry-optimized Be3FeHg structure, computed with GGA-PBEsol.

Cell lengths 3.9957, 3.9957, 3.9957 Å; angles 90.00, 90.00, 90.00 degrees
Positions (direct):
1 Be 0.5000 0.0000 0.0000
2 Be 0.0000 0.0000 0.5000
3 Be 0.0000 0.5000 0.0000
4 Hg 0.5000 0.5000 0.5000
5 Fe 0.0000 0.0000 0.0000

Properties
Total DFT energy (no corrections): -3.5380 eV per atom
Formation enthalpy at 0 K: 0.768 eV per atom



Record 4
A geometry-optimized CdSb3As structure, computed with GGA-PBEsol.

Cell lengths 5.3353, 5.3353, 5.3353 Å; angles 90.00, 90.00, 90.00 degrees
Positions (direct):
1 Sb 0.5000 0.0000 0.0000
2 Sb 0.0000 0.0000 0.5000
3 Sb 0.0000 0.5000 0.0000
4 As 0.0000 0.0000 0.0000
5 Cd 0.5000 0.5000 0.5000

Properties
Energy relative to the elements, uncorrected: 0.651 eV/atom
Total DFT energy (no corrections): -3.3445 eV per atom



Record 5
A geometry-optimized CaIn structure, computed with GGA-PBEsol.

Cell lengths 6.5754, 6.5754, 6.5754 Å; angles 102.78, 112.91, 112.91 degrees
Positions (direct):
1 In 0.5591 0.7796 0.7796
2 In 0.0000 0.7796 0.2204
3 In 0.0000 0.2204 0.7796
4 In 0.4409 0.2204 0.2204
5 Ca 0.5000 0.7500 0.2500
6 Ca 0.0000 0.7102 0.7102
7 Ca 0.5000 0.2500 0.7500
8 Ca 0.0000 0.2898 0.2898

Properties
Total DFT energy (no corrections): -3.0712 eV per atom
Formation enthalpy at 0 K: -0.513 eV per atom



Record 6
A geometry-optimized TlAsIr2 structure, computed with GGA-PBEsol.

Cell lengths 4.5354, 4.5354, 4.5354 Å; angles 60.00, 60.00, 60.00 degrees
Site moments in Bohr magnetons follow the coordinates.
Positions (direct):
1 Ir 0.7500 0.7500 0.7500  0.19
2 Ir 0.2500 0.2500 0.2500  0.19
3 Tl 0.5000 0.5000 0.5000  0.00
4 As 0.0000 0.0000 0.0000  0.01

Properties
Total DFT energy (no corrections): -6.2961 eV per atom
Formation enthalpy at 0 K: 0.550 eV per atom